# Ca12CdAg6

An optimized crystal structure of Ca12CdAg6 (PBE-GGA, Alexandria).

## Properties
Total DFT energy (no corrections), eV/atom: -2.434
Symmetry: Im-3 (204)

Unit cell a=9.1688 b=9.1688 c=9.1688 alpha=109.47 beta=109.47 gamma=109.47
With the nearest neighbours (Å) after each atom.
Element x y z (fractional)
Ca  0.7086  0.8903  0.1817  3 Ag 2.97-3.24
Ca  0.4732  0.1817  0.2914  3 Ag 2.97-3.24
Ca  0.7086  0.5268  0.8183  3 Ag 2.97-3.24
Ca  0.2914  0.1097  0.8183  3 Ag 2.97-3.24
Ca  0.1817  0.2914  0.4732  3 Ag 2.97-3.24
Ca  0.1817  0.7086  0.8903  3 Ag 2.97-3.24
Ca  0.2914  0.4732  0.1817  3 Ag 2.97-3.24
Ca  0.8183  0.2914  0.1097  3 Ag 2.97-3.24
Ca  0.1097  0.8183  0.2914  3 Ag 2.97-3.24
Ca  0.5268  0.8183  0.7086  3 Ag 2.97-3.24
Ca  0.8903  0.1817  0.7086  3 Ag 2.97-3.24
Ca  0.8183  0.7086  0.5268  3 Ag 2.97-3.24
Ag  0.3692  0.5000  0.8692  1 Ag 2.77, 2 Ca 2.97
Ag  0.5000  0.1308  0.6308  1 Ag 2.77, 2 Ca 2.97
Ag  0.5000  0.8692  0.3692  1 Ag 2.77, 2 Ca 2.97
Ag  0.6308  0.5000  0.1308  1 Ag 2.77, 2 Ca 2.97
Ag  0.1308  0.6308  0.5000  1 Ag 2.77, 2 Ca 2.97
Ag  0.8692  0.3692  0.5000  1 Ag 2.77, 2 Ca 2.97
Cd  0.0000  0.0000  0.0000  12 Ca 3.64

# Ca2CdAg2

An optimized crystal structure of Ca2CdAg2 (PBE-GGA, Alexandria).

## Properties
Total DFT energy (no corrections), eV/atom: -2.447
Symmetry: P4/mbm (127)

Unit cell a=7.8962 b=7.8962 c=4.1362 alpha=90.00 beta=90.00 gamma=90.00
With the nearest neighbours (Å) after each atom.
Element x y z (fractional)
Ca  0.3264  0.1736  0.5000  6 Ag 3.04-3.17
Ca  0.6736  0.8264  0.5000  6 Ag 3.04-3.17
Ca  0.8264  0.3264  0.5000  6 Ag 3.04-3.17
Ca  0.1736  0.6736  0.5000  6 Ag 3.04-3.17
Ag  0.3732  0.8732  0.0000  1 Ag 2.83, 6 Ca 3.04-3.17, 2 Cd 3.11
Ag  0.8732  0.6268  0.0000  1 Ag 2.83, 6 Ca 3.04-3.17, 2 Cd 3.11
Ag  0.1268  0.3732  0.0000  1 Ag 2.83, 6 Ca 3.04-3.17, 2 Cd 3.11
Ag  0.6268  0.1268  0.0000  1 Ag 2.83, 6 Ca 3.04-3.17, 2 Cd 3.11
Cd  0.5000  0.5000  0.0000  4 Ag 3.11
Cd  0.0000  0.0000  0.0000  4 Ag 3.11

# CaCd8Ag2

An optimized crystal structure of CaCd8Ag2 (PBE-GGA, Alexandria).

## Properties
Total DFT energy (no corrections), eV/atom: -1.467
Symmetry: C2/m (12)

Unit cell a=4.8457 b=8.0964 c=7.5837 alpha=115.68 beta=108.63 gamma=90.00
With the nearest neighbours (Å) after each atom.
Element x y z (fractional)
Cd  0.2911  0.1128  0.5822  6 Cd 2.94-3.10, 3 Ag 2.98
Cd  0.4005  0.5289  0.8010  7 Cd 3.00-3.22, 3 Ag 3.15-3.26
Cd  0.0584  0.7404  0.1169  3 Cd 2.85-3.10, 1 Ag 2.87
Cd  0.1489  0.2980  0.2979  3 Ag 2.84-3.03, 4 Cd 2.85-3.04
Cd  0.9416  0.2596  0.8831  3 Cd 2.85-3.10, 1 Ag 2.87
Cd  0.8511  0.7020  0.7021  3 Ag 2.84-3.03, 4 Cd 2.85-3.04
Cd  0.7089  0.8872  0.4178  6 Cd 2.94-3.10, 3 Ag 2.98
Cd  0.5995  0.4711  0.1990  7 Cd 3.00-3.22, 3 Ag 3.15-3.26
Ag  0.2518  0.7181  0.5036  8 Cd 2.84-3.15
Ag  0.7482  0.2819  0.4964  8 Cd 2.84-3.15
Ca  0.5000  0.0000  0.0000  2 Ag 3.24, 12 Cd 3.40-3.55

# CaCdAg2

An optimized crystal structure of CaCdAg2 (PBE-GGA, Alexandria).

## Properties
Total DFT energy (no corrections), eV/atom: -2.131
Symmetry: I-42d (122)

Unit cell a=4.5293 b=4.5293 c=10.4807 alpha=77.52 beta=77.52 gamma=90.00
With the nearest neighbours (Å) after each atom.
Element x y z (fractional)
Ca  0.5000  0.5000  0.0000  4 Ag 3.08, 4 Cd 3.20
Ca  0.2500  0.7500  0.5000  4 Ag 3.08, 4 Cd 3.20
Cd  0.7500  0.2500  0.5000  4 Ag 2.87, 4 Ca 3.20
Cd  0.0000  0.0000  0.0000  4 Ag 2.87, 4 Ca 3.20
Ag  0.6852  0.1250  0.2500  2 Ag 2.84, 2 Cd 2.87, 2 Ca 3.08
Ag  0.8750  0.9352  0.7500  2 Ag 2.84, 2 Cd 2.87, 2 Ca 3.08
Ag  0.0648  0.6250  0.2500  2 Ag 2.84, 2 Cd 2.87, 2 Ca 3.08
Ag  0.3750  0.3148  0.7500  2 Ag 2.84, 2 Cd 2.87, 2 Ca 3.08

# CaCdAg2

An optimized crystal structure of CaCdAg2 (PBE-GGA, Alexandria).

## Properties
Total DFT energy (no corrections), eV/atom: -2.330
Symmetry: P4/mmm (123)

Unit cell a=4.1192 b=4.6812 c=4.6812 alpha=90.00 beta=90.00 gamma=90.00
With the nearest neighbours (Å) after each atom.
Element x y z (fractional)
Ca  0.5000  0.5000  0.5000  8 Ag 3.12, 4 Cd 3.31
Ag  0.0000  0.5000  0.0000  4 Cd 3.12, 4 Ca 3.12, 4 Ag 3.31
Ag  0.0000  0.0000  0.5000  4 Cd 3.12, 4 Ca 3.12, 4 Ag 3.31
Cd  0.5000  0.0000  0.0000  8 Ag 3.12, 4 Ca 3.31

# Ca2Cd3Ag

An optimized crystal structure of Ca2Cd3Ag (PBE-GGA, Alexandria).

## Properties
Total DFT energy (no corrections), eV/atom: -1.917
Symmetry: Pmm2 (25)

Unit cell a=3.6362 b=4.9609 c=8.6025 alpha=90.00 beta=90.00 gamma=90.00
With the nearest neighbours (Å) after each atom.
Element x y z (fractional)
Ag  0.5000  0.5000  0.3340  3 Cd 2.84-2.86
Cd  0.5000  0.5000  0.6641  1 Ag 2.84, 2 Cd 2.87
Cd  0.5000  0.0000  0.8323  3 Cd 2.87-2.89
Cd  0.5000  0.0000  0.1681  2 Ag 2.86, 1 Cd 2.89
Ca  0.0000  0.5000  0.0124  2 Ag 3.31, 10 Cd 3.35-3.50, 2 Ca 3.64
Ca  0.0000  0.0000  0.4890  8 Cd 3.31-3.47, 4 Ag 3.35, 2 Ca 3.64

# Ca2CdAg5

An optimized crystal structure of Ca2CdAg5 (PBE-GGA, Alexandria).

## Properties
Total DFT energy (no corrections), eV/atom: -2.362
Symmetry: P4/mmm (123)

Unit cell a=5.1187 b=6.4871 c=6.4871 alpha=90.00 beta=90.00 gamma=90.00
With the nearest neighbours (Å) after each atom.
Element x y z (fractional)
Ca  0.5000  0.5000  0.0000  10 Ag 3.24-3.46
Ca  0.5000  0.0000  0.5000  10 Ag 3.24-3.46
Ag  0.0000  0.2920  0.2920  1 Cd 2.68, 2 Ag 2.70
Ag  0.0000  0.7080  0.7080  1 Cd 2.68, 2 Ag 2.70
Ag  0.0000  0.7080  0.2920  1 Cd 2.68, 2 Ag 2.70
Ag  0.0000  0.2920  0.7080  1 Cd 2.68, 2 Ag 2.70
Ag  0.5000  0.0000  0.0000  2 Cd 2.56
Cd  0.0000  0.0000  0.0000  6 Ag 2.56-2.68

# Ca2Cd3Ag4

An optimized crystal structure of Ca2Cd3Ag4 (PBE-GGA, Alexandria).

## Properties
Total DFT energy (no corrections), eV/atom: -2.242
Symmetry: Cmce (64)

Unit cell a=5.9678 b=8.0650 c=9.1785 alpha=90.00 beta=108.97 gamma=90.00
With the nearest neighbours (Å) after each atom.
Element x y z (fractional)
Ag  0.8234  0.2500  0.1468  3 Cd 2.81-2.92, 4 Ag 2.98-3.05
Ag  0.8348  0.0141  0.6696  5 Cd 2.87-2.92, 2 Ag 3.05
Ag  0.3234  0.2500  0.1468  3 Cd 2.81-2.92, 4 Ag 2.98-3.05
Ag  0.1766  0.7500  0.8532  3 Cd 2.81-2.92, 4 Ag 2.98-3.05
Ag  0.6652  0.5141  0.3304  5 Cd 2.87-2.92, 2 Ag 3.05
Ag  0.1652  0.9859  0.3304  5 Cd 2.87-2.92, 2 Ag 3.05
Ag  0.6766  0.7500  0.8532  3 Cd 2.81-2.92, 4 Ag 2.98-3.05
Ag  0.3348  0.4859  0.6696  5 Cd 2.87-2.92, 2 Ag 3.05
Ca  0.0990  0.6009  0.1980  7 Ag 3.23-3.55, 4 Cd 3.37-3.54
Ca  0.5990  0.8991  0.1980  7 Ag 3.23-3.55, 4 Cd 3.37-3.54
Ca  0.9010  0.3991  0.8020  7 Ag 3.23-3.55, 4 Cd 3.37-3.54
Ca  0.4010  0.1009  0.8020  7 Ag 3.23-3.55, 4 Cd 3.37-3.54
Cd  0.0087  0.7500  0.5173  5 Ag 2.91-2.92, 2 Cd 2.98
Cd  0.9913  0.2500  0.4827  5 Ag 2.91-2.92, 2 Cd 2.98
Cd  0.5087  0.7500  0.5173  5 Ag 2.91-2.92, 2 Cd 2.98
Cd  0.0000  0.0000  0.0000  6 Ag 2.81-2.87
Cd  0.4913  0.2500  0.4827  5 Ag 2.91-2.92, 2 Cd 2.98
Cd  0.5000  0.5000  0.0000  6 Ag 2.81-2.87

# CaCdAg3

An optimized crystal structure of CaCdAg3 (PBE-GGA, Alexandria).

## Properties
Total DFT energy (no corrections), eV/atom: -2.403
Symmetry: P6_3/mmc (194)

Unit cell a=5.7658 b=6.8942 c=6.8941 alpha=120.00 beta=90.00 gamma=90.00
With the nearest neighbours (Å) after each atom.
Element x y z (fractional)
Ca  0.2501  0.3332  0.6666  12 Ag 3.29-3.47
Ca  0.7499  0.6668  0.3334  12 Ag 3.29-3.47
Ag  0.2500  0.4005  0.2002  2 Ag 2.75, 2 Cd 2.79
Ag  0.2500  0.7997  0.2002  2 Ag 2.75, 2 Cd 2.79
Ag  0.7500  0.2003  0.7998  2 Ag 2.75, 2 Cd 2.79
Ag  0.7500  0.5995  0.7998  2 Ag 2.75, 2 Cd 2.79
Ag  0.2500  0.7997  0.5995  2 Ag 2.75, 2 Cd 2.79
Ag  0.7500  0.2003  0.4005  2 Ag 2.75, 2 Cd 2.79
Cd  0.0000  0.0000  0.0000  6 Ag 2.79, 2 Cd 2.88
Cd  0.5000  0.0000  0.0000  6 Ag 2.79, 2 Cd 2.88

# CaCd11Ag

An optimized crystal structure of CaCd11Ag (PBE-GGA, Alexandria).

## Properties
Total DFT energy (no corrections), eV/atom: -1.247
Symmetry: C2/m (12)

Unit cell a=5.8933 b=7.6941 c=7.7212 alpha=81.48 beta=67.57 gamma=67.15
With the nearest neighbours (Å) after each atom.
Element x y z (fractional)
Cd  0.0000  0.5000  0.0000  8 Cd 2.93-3.08, 2 Ag 2.95
Cd  0.0097  0.6454  0.3474  8 Cd 3.00-3.32, 1 Ag 3.04
Cd  0.2932  0.2149  0.2114  1 Ag 2.91, 7 Cd 2.93-3.20
Cd  0.5000  0.0000  0.5000  10 Cd 2.93-3.12
Cd  0.4954  0.7851  0.2114  1 Ag 2.91, 7 Cd 2.93-3.20
Cd  0.7068  0.7851  0.7886  1 Ag 2.91, 7 Cd 2.93-3.20
Cd  0.9903  0.3546  0.6526  8 Cd 3.00-3.32, 1 Ag 3.04
Cd  0.0000  0.0000  0.5000  10 Cd 2.93-3.12
Cd  0.6429  0.3546  0.3474  8 Cd 3.00-3.32, 1 Ag 3.04
Cd  0.5046  0.2149  0.7886  1 Ag 2.91, 7 Cd 2.93-3.20
Cd  0.3571  0.6454  0.6526  8 Cd 3.00-3.32, 1 Ag 3.04
Ca  0.0000  0.0000  0.0000  18 Cd 3.53-3.86, 2 Ag 3.83
Ag  0.5000  0.5000  0.0000  10 Cd 2.91-3.04

Number 1: formation energy from the elements -0.22 eV/atom. Number 2: formation energy from the elements -0.32 eV/atom. Number 3: formation energy from the elements -0.10 eV/atom. Number 4: formation energy from the elements 0.02 eV/atom. Number 5: formation energy from the elements -0.18 eV/atom. Number 6: formation energy from the elements -0.32 eV/atom. Number 7: formation energy from the elements 0.04 eV/atom. Number 8: formation energy from the elements -0.22 eV/atom. Number 9: formation energy from the elements -0.11 eV/atom. Number 10: formation energy from the elements -0.10 eV/atom.